# PBE Ag2RuPt, optimized geometry
# Total magnetization   0.0000 μB per atom
# DOS at the Fermi energy   3.53 states/eV per cell
# Energy   -5.08 eV/atom
# Crystal system   tetragonal
# Energy of formation from the pure elements   0.175 eV per atom
# Theoretical density   13.07 g cm⁻³
data_Ag2RuPt
_chemical_formula_sum 'Ag2 Ru1 Pt1'
_symmetry_space_group_name_H-M 'P 4 m m'
_symmetry_Int_Tables_number 99
_symmetry_space_group_name_Hall 'P 4 -2'
_cell_length_a 2.797
_cell_length_b 2.797
_cell_length_c 8.316
_cell_angle_alpha 90.00
_cell_angle_beta 90.00
_cell_angle_gamma 90.00
loop_
_atom_site_label
_atom_site_type_symbol
_atom_site_fract_x
_atom_site_fract_y
_atom_site_fract_z
Ag1 Ag 0.000 0.000 0.000
Ag2 Ag 0.500 0.500 0.267
Ru1 Ru 0.500 0.500 0.745
Pt1 Pt 0.000 0.000 0.529